Entry 1:
Here is a geometry-optimized Sm3CoCl3 structure from Alexandria. Energies are from GGA-PBE.

Lattice parameters (Å, degrees): 9.9062 9.9062 9.9062 109.47 109.47 109.47
Fractional positions:
Sm: 0.9722 0.4861 0.2361
Sm: 0.5139 0.0278 0.2639
Sm: 0.2500 0.0139 0.4861
Sm: 0.9861 0.7500 0.0139
Sm: 0.9861 0.2361 0.4722
Sm: 0.7639 0.0139 0.0278
Sm: 0.7361 0.4722 0.4861
Sm: 0.7639 0.7500 0.2361
Sm: 0.5278 0.2639 0.0139
Sm: 0.2500 0.2361 0.2639
Sm: 0.7361 0.2639 0.7500
Sm: 0.5139 0.4861 0.7500
Co: 0.7500 0.5000 0.0000
Co: 0.5000 0.2500 0.5000
Co: 0.7500 0.2500 0.2500
Co: 0.0000 0.0000 0.2500
Cl: 0.2465 0.9965 0.9930
Cl: 0.7500 0.7535 0.7465
Cl: 0.4930 0.7465 0.9965
Cl: 0.0035 0.2500 0.9965
Cl: 0.2535 0.7465 0.2500
Cl: 0.4965 0.5035 0.2500
Cl: 0.2465 0.2500 0.7535
Cl: 0.2535 0.5070 0.5035
Cl: 0.7500 0.9965 0.5035
Cl: 0.0070 0.5035 0.7535
Cl: 0.0035 0.7535 0.5070
Cl: 0.4965 0.9930 0.7465

Output
Space group ... No. 214
E_tot ... -5.2230 eV per atom

---

Entry 2:
Here is a geometry-optimized Ac2PuSb structure from Alexandria. Energies are from GGA-PBE.

Lattice parameters (Å, degrees): 4.7517 5.3189 5.3189 90.00 90.00 90.00
Last column: magnetic moment on the atom in μB.
Fractional positions:
Sb: 0.5000 0.0000 0.0000  -0.03
Ac: 0.0000 0.0000 0.5000  0.16
Ac: 0.0000 0.5000 0.0000  0.16
Pu: 0.5000 0.5000 0.5000  5.78

Output
Space group ... No. 123
Distance to the lowest polymorph of the same formula ... 0 meV per atom

---

Entry 3:
Here is a geometry-optimized Li3NdBi2S6 structure from Alexandria. Energies are from GGA-PBE.

Lattice parameters (Å, degrees): 6.9568 6.9568 6.6952 99.76 99.76 120.17
Fractional positions:
Li: 0.1813 0.8187 0.5000
Li: 0.8187 0.1813 0.5000
Li: 0.5000 0.5000 0.5000
Nd: 0.0000 0.0000 0.0000
Bi: 0.3347 0.6653 0.0000
Bi: 0.6653 0.3347 0.0000
S: 0.9143 0.5800 0.7396
S: 0.7489 0.7489 0.2599
S: 0.0857 0.4200 0.2604
S: 0.5800 0.9143 0.7396
S: 0.2511 0.2511 0.7401
S: 0.4200 0.0857 0.2604

Output
Space group ... No. 12
E_tot ... -4.6751 eV per atom

---

Entry 4:
Here is a geometry-optimized U6Ge2Sb structure from Alexandria. Energies are from GGA-PBE.

Lattice parameters (Å, degrees): 2.8778 8.5675 8.5675 86.70 70.36 70.36
Fractional positions:
U: 0.1636 0.9913 0.3452
U: 0.8364 0.0087 0.6548
U: 0.8364 0.6548 0.0087
U: 0.5000 0.3266 0.6734
U: 0.5000 0.6734 0.3266
U: 0.1636 0.3452 0.9913
Ge: 0.3353 0.3325 0.3325
Ge: 0.6648 0.6675 0.6675
Sb: 0.9999 0.0000 0.0000

Output
Space group ... No. 65
E_tot ... -9.1092 eV per atom

---

Total magnetization / μB per formula unit: 0.0; 7.0; 0.0; 0.0
Density / Mg/m³: 5.47; 10.13; 4.89; 15.05